Entry 1:
A plane-wave DFT calculation with GGA-PBEsol was carried out for KBaCr2Tc after structural relaxation.

Summary:
Symmetry = P4/mmm, No. 123
DFT total energy = -4.61 eV per atom

a = 5.1487 Å, b = 5.8746 Å, c = 5.8746 Å
α = 90.00°, β = 90.00°, γ = 90.00°
Last column: nearest neighbours and their distance in Å.
Sites, in units of the cell vectors:
Cr  0.0000  0.0000  0.5000  2 Ba 2.94
Cr  0.0000  0.5000  0.0000  2 Ba 2.94
K  0.5000  0.5000  0.5000  8 Cr 3.91, 4 Tc 4.15
Ba  0.0000  0.0000  0.0000  2 Tc 2.57
Tc  0.5000  0.0000  0.0000  2 Ba 2.57


Entry 2:
A plane-wave DFT calculation with GGA-PBEsol was carried out for BaLa3Cr after structural relaxation.

Summary:
Symmetry = Pm-3m, No. 221
DFT total energy = -5.33 eV per atom

a = 5.4903 Å, b = 5.4903 Å, c = 5.4903 Å
α = 90.00°, β = 90.00°, γ = 90.00°
Last column: nearest neighbours and their distance in Å.
Sites, in units of the cell vectors:
Cr  0.0000  0.0000  0.0000  6 La 2.75
Ba  0.5000  0.5000  0.5000  12 La 3.88
La  0.0000  0.5000  0.0000  2 Cr 2.75
La  0.0000  0.0000  0.5000  2 Cr 2.75
La  0.5000  0.0000  0.0000  2 Cr 2.75


Entry 3:
A plane-wave DFT calculation with GGA-PBEsol was carried out for Ba2LaCr after structural relaxation.

Summary:
Distance to the lowest polymorph of the same formula = 0.00 kJ/mol of atoms
Symmetry = Imm2, No. 44

a = 3.9893 Å, b = 7.2013 Å, c = 7.2013 Å
α = 50.61°, β = 73.92°, γ = 73.92°
Last column: nearest neighbours and their distance in Å.
Sites, in units of the cell vectors:
Ba  0.9945  0.0055  0.0055  4 Cr 3.68, 2 La 3.97, 4 Ba 3.98-3.99
Ba  0.7908  0.7092  0.7092  2 Cr 3.45, 4 La 3.85
Cr  0.5183  0.4817  0.4817  2 La 2.98
La  0.1964  0.3036  0.3036  2 Cr 2.98


Entry 4:
A plane-wave DFT calculation with GGA-PBEsol was carried out for Ba2LaCr after structural relaxation.

Summary:
Distance to the lowest polymorph of the same formula = 8.72 kJ/mol of atoms
Symmetry = P4/mmm, No. 123

a = 3.9460 Å, b = 3.9460 Å, c = 9.8514 Å
α = 90.00°, β = 90.00°, γ = 90.00°
Last column: nearest neighbours and their distance in Å.
Sites, in units of the cell vectors:
Ba  0.0000  0.0000  0.7918  4 Cr 3.46
Ba  0.0000  0.0000  0.2082  4 Cr 3.46
Cr  0.5000  0.5000  0.0000  8 Ba 3.46
La  0.5000  0.5000  0.5000  4 La 3.95, 8 Ba 4.01


| no. | Fermi-level density of states (states/eV/cell) |
| --- | --- |
| 1 | 6.3 |
| 2 | 5.1 |
| 3 | 4.5 |
| 4 | 5.1 |